<1>
Material: PtSe2NO
Method: DFT, PBE-GGA
State: optimized geometry

Unit cell a=4.5533 b=4.5533 c=3.5546 alpha=90.00 beta=90.00 gamma=90.00
Positions (direct):
1 O 0.0000 0.0000 0.0000
2 Se 0.0000 0.5000 0.0000
3 Se 0.5000 0.0000 0.0000
4 Pt 0.5000 0.5000 0.5000
5 N 0.0000 0.0000 0.5000

space-group type = P4/mmm
total magnetic moment = 1.63 μB/f.u.

=====

<2>
Material: PtSe2NO
Method: DFT, PBE-GGA
State: optimized geometry

Unit cell a=5.1630 b=5.1630 c=3.6217 alpha=90.00 beta=90.00 gamma=90.00
Positions (direct):
1 O 0.5000 0.5000 0.5000
2 Se 0.0000 0.5000 0.0000
3 Se 0.5000 0.0000 0.0000
4 Pt 0.0000 0.0000 0.0000
5 N 0.0000 0.0000 0.5000

space-group type = P4/mmm
total magnetic moment = 0.00 μB/f.u.

=====

Result of the stability comparison: <1> is the least stable of them.

=====

<1>
Material: Te2PtNO
Method: DFT, PBE-GGA
State: optimized geometry

Unit cell a=4.7059 b=4.7059 c=3.8387 alpha=90.00 beta=90.00 gamma=90.00
Positions (direct):
1 Te 0.0000 0.5000 0.0000
2 Te 0.5000 0.0000 0.0000
3 O 0.0000 0.0000 0.0000
4 Pt 0.5000 0.5000 0.5000
5 N 0.0000 0.0000 0.5000

space-group type = P4/mmm
total magnetic moment = 1.80 μB/f.u.

=====

<2>
Material: Te2PtNO
Method: DFT, PBE-GGA
State: optimized geometry

Unit cell a=5.5314 b=5.5314 c=3.6403 alpha=90.00 beta=90.00 gamma=90.00
Positions (direct):
1 Te 0.0000 0.5000 0.0000
2 Te 0.5000 0.0000 0.0000
3 O 0.5000 0.5000 0.5000
4 Pt 0.0000 0.0000 0.0000
5 N 0.0000 0.0000 0.5000

space-group type = P4/mmm
total magnetic moment = 1.29 μB/f.u.

=====

Result of the stability comparison: <1> is the least stable of them.

=====

<1>
Material: Pu4N3O
Method: DFT, PBE-GGA
State: optimized geometry

Unit cell a=4.9471 b=4.9471 c=4.9471 alpha=90.00 beta=90.00 gamma=90.00
Positions (direct):
1 Pu 0.5000 0.0000 0.0000
2 Pu 0.0000 0.5000 0.0000
3 Pu 0.0000 0.0000 0.5000
4 Pu 0.5000 0.5000 0.5000
5 N 0.0000 0.5000 0.5000
6 N 0.5000 0.0000 0.5000
7 N 0.5000 0.5000 0.0000
8 O 0.0000 0.0000 0.0000

space-group type = Pm-3m
total magnetic moment = 20.06 μB/f.u.

=====

<2>
Material: Pu4N3O
Method: DFT, PBE-GGA
State: optimized geometry

Unit cell a=3.4936 b=6.0505 c=6.0505 alpha=70.55 beta=90.00 gamma=90.00
Positions (direct):
1 N 0.5000 0.0003 0.4998
2 N 0.0000 0.9999 0.0001
3 N 0.0000 0.5000 0.5002
4 O 0.5000 0.5003 0.9997
5 Pu 0.0000 0.7532 0.7468
6 Pu 0.5000 0.7512 0.2512
7 Pu 0.0000 0.2471 0.2530
8 Pu 0.5000 0.2489 0.7489

space-group type = Cmmm
total magnetic moment = 19.81 μB/f.u.

=====

Result of the stability comparison: <1> is the least stable of them.

=====

<1>
Material: Rb2NO
Method: DFT, PBE-GGA
State: optimized geometry

Unit cell a=7.5546 b=7.5546 c=6.7668 alpha=56.07 beta=56.07 gamma=90.00
Positions (direct):
1 O 0.0000 0.0000 0.0000
2 O 0.7500 0.2500 0.5000
3 Rb 0.6612 0.1250 0.2500
4 Rb 0.0888 0.6250 0.2500
5 Rb 0.3750 0.3388 0.7500
6 Rb 0.8750 0.9112 0.7500
7 N 0.5000 0.5000 0.0000
8 N 0.2500 0.7500 0.5000

space-group type = I-42d
total magnetic moment = 3.00 μB/f.u.

=====

<2>
Material: Rb2NO
Method: DFT, PBE-GGA
State: optimized geometry

Unit cell a=5.0245 b=5.0245 c=5.0245 alpha=60.00 beta=60.00 gamma=60.00
Positions (direct):
1 O 0.5000 0.5000 0.5000
2 Rb 0.2500 0.2500 0.2500
3 Rb 0.7500 0.7500 0.7500
4 N 0.0000 0.0000 0.0000

space-group type = Fm-3m
total magnetic moment = 3.00 μB/f.u.

=====

Result of the stability comparison: <1> is the least stable of them.

=====

<1>
Material: RbSe2NO
Method: DFT, PBE-GGA
State: optimized geometry

Unit cell a=4.2883 b=6.0618 c=4.2883 alpha=90.00 beta=90.00 gamma=90.00
Positions (direct):
1 O 0.0000 0.0000 0.0000
2 Se 0.0000 0.0000 0.5000
3 Se 0.5000 0.0000 0.0000
4 Rb 0.5000 0.5000 0.5000
5 N 0.0000 0.5000 0.0000

space-group type = P4/mmm
total magnetic moment = 3.03 μB/f.u.

=====

<2>
Material: RbSe2NO
Method: DFT, PBE-GGA
State: optimized geometry

Unit cell a=6.8485 b=6.8485 c=6.1661 alpha=90.00 beta=90.00 gamma=90.00
Positions (direct):
1 O 0.5000 0.5000 0.5000
2 Se 0.0000 0.5000 0.0000
3 Se 0.5000 0.0000 0.0000
4 Rb 0.0000 0.0000 0.0000
5 N 0.0000 0.0000 0.5000

space-group type = P4/mmm
total magnetic moment = 4.52 μB/f.u.

=====

Result of the stability comparison: <2> is the least stable of them.

=====

<1>
Material: ReSe2NO
Method: DFT, PBE-GGA
State: optimized geometry

Unit cell a=4.8935 b=4.8935 c=3.7243 alpha=90.00 beta=90.00 gamma=90.00
Positions (direct):
1 Re 0.0000 0.0000 0.0000
2 O 0.5000 0.5000 0.5000
3 Se 0.0000 0.5000 0.0000
4 Se 0.5000 0.0000 0.0000
5 N 0.0000 0.0000 0.5000

space-group type = P4/mmm
total magnetic moment = 0.00 μB/f.u.

=====

<2>
Material: ReSe2NO
Method: DFT, PBE-GGA
State: optimized geometry

Unit cell a=4.2315 b=4.2315 c=3.7698 alpha=90.00 beta=90.00 gamma=90.00
Positions (direct):
1 Re 0.5000 0.5000 0.5000
2 O 0.0000 0.0000 0.0000
3 Se 0.0000 0.5000 0.0000
4 Se 0.5000 0.0000 0.0000
5 N 0.0000 0.0000 0.5000

space-group type = P4/mmm
total magnetic moment = 0.34 μB/f.u.

=====

Result of the stability comparison: <2> is the least stable of them.